1.
{"formula": "RbLi2NpI6", "functional": "PBE", "state": "optimized geometry", "lattice": [[8.9964, 0.2002, 0.2077], [3.0261, 10.4068, 0.2518], [3.0261, -0.1340, 10.4090]], "species": ["Rb", "Rb", "Li", "Li", "Li", "Li", "Np", "Np", "I", "I", "I", "I", "I", "I", "I", "I", "I", "I", "I", "I"], "frac_coords": [[0.2500, 0.9122, 0.0878], [0.7500, 0.0878, 0.9122], [0.3978, 0.7646, 0.6208], [0.1022, 0.3792, 0.2354], [0.6022, 0.2354, 0.3792], [0.8978, 0.6208, 0.7646], [0.2500, 0.2755, 0.7245], [0.7500, 0.7245, 0.2755], [0.2061, 0.9928, 0.7626], [0.2939, 0.2374, 0.0072], [0.7939, 0.0072, 0.2374], [0.7061, 0.7626, 0.9928], [0.3757, 0.8198, 0.3758], [0.1243, 0.6242, 0.1802], [0.6243, 0.1802, 0.6242], [0.8757, 0.3758, 0.8198], [0.2325, 0.5708, 0.7188], [0.2675, 0.2812, 0.4292], [0.7675, 0.4292, 0.2812], [0.7325, 0.7188, 0.5708]], "density_g_cm3": 3.79, "sg": "C2/c", "raw_formation_energy_ev_per_atom": -1.100}



2.
{"formula": "RbSc3Cl", "functional": "PBE", "state": "optimized geometry", "lattice": [[5.3574, 0.0000, 0.0000], [0.0000, 5.3574, 0.0000], [0.0000, 0.0000, 5.3574]], "species": ["Sc", "Sc", "Sc", "Rb", "Cl"], "frac_coords": [[0.0000, 0.5000, 0.0000], [0.0000, 0.0000, 0.5000], [0.5000, 0.0000, 0.0000], [0.0000, 0.0000, 0.0000], [0.5000, 0.5000, 0.5000]], "polymorph_energy_ev_per_fu": 6.47, "density_g_cm3": 2.76, "sg": "Pm-3m", "raw_formation_energy_ev_per_atom": 1.539}



3.
{"formula": "Pm2EuLu", "functional": "PBE", "state": "optimized geometry", "lattice": [[3.8635, 0.0000, 0.0000], [0.0000, 5.9531, 0.0000], [0.0000, 0.0000, 5.9531]], "species": ["Eu", "Lu", "Pm", "Pm"], "frac_coords": [[0.5000, 0.5000, 0.5000], [0.5000, 0.0000, 0.0000], [0.0000, 0.0000, 0.5000], [0.0000, 0.5000, 0.0000]], "polymorph_energy_ev_per_fu": 0.00, "formation_enthalpy_0k_ev_per_atom": 0.13, "density_g_cm3": 7.48, "sg": "P4/mmm"}



4.
{"formula": "KTmAu2", "functional": "PBE", "state": "optimized geometry", "lattice": [[-1.1170, -1.7232, 3.5679], [-2.5086, -3.2639, 0.0131], [5.2951, -6.6625, 0.8148]], "species": ["K", "Tm", "Au", "Au"], "frac_coords": [[0.5000, 0.5000, 0.5000], [0.0000, 0.0000, 0.0000], [0.7325, 0.7325, 0.8025], [0.2675, 0.2675, 0.1975]], "polymorph_energy_ev_per_fu": 0.59, "formation_enthalpy_0k_ev_per_atom": -0.45, "density_g_cm3": 8.29, "sg": "R-3m"}



5.
{"formula": "Ba2CrInPd", "functional": "PBE", "state": "optimized geometry", "lattice": [[5.5709, 0.0000, 0.0000], [0.0000, 5.1065, 0.0000], [0.0000, 0.0000, 5.5709]], "species": ["Cr", "Ba", "Ba", "Pd", "In"], "frac_coords": [[0.0000, 0.0000, 0.0000], [0.0000, 0.0000, 0.5000], [0.5000, 0.0000, 0.0000], [0.5000, 0.5000, 0.5000], [0.0000, 0.5000, 0.0000]], "formation_enthalpy_0k_ev_per_atom": 0.60, "density_g_cm3": 5.74, "sg": "P4/mmm"}



6.
{"formula": "ZrTl2Rh", "functional": "PBE", "state": "optimized geometry", "lattice": [[-4.8257, -7.9951, -0.3025], [-2.0536, -9.0445, 1.1317], [-4.4330, -7.6771, 2.9513]], "species": ["Rh", "Tl", "Tl", "Zr"], "frac_coords": [[0.7500, 0.7500, 0.7500], [0.0083, 0.0083, 0.0083], [0.4917, 0.4917, 0.4917], [0.2500, 0.2500, 0.2500]], "formation_enthalpy_0k_ev_per_atom": 0.12, "density_g_cm3": 11.65, "sg": "R-3m"}